This record from Alexandria describes an optimized crystal structure of CrSiMo. The functional is GGA-PBE.

Unit cell a=6.2249 b=6.0444 c=2.6980 alpha=81.07 beta=73.58 gamma=25.35
Last column: nearest neighbours and their distance in Å.
Fractional positions:
Cr 0.0000 0.0000 0.0000  2 Si 2.39, 2 Mo 2.59
Si 0.6528 0.6528 0.3472  2 Cr 2.39, 2 Mo 2.56
Mo 0.3244 0.3244 0.6756  2 Si 2.56, 2 Cr 2.59, 4 Mo 2.70

Summary:
- Space-group type: Fmm2 (42)
- Formation energy without anion corrections: -0.0058 eV/atom
- D(E_F): 1.9 states/eV/f.u.
- Energy: -25.9 eV per cell
- Calculated density: 7.23 Mg/m³